[1]
# Ti2ZnPt5 PBE-GGA relaxed
data_Ti2ZnPt5
_space_group_name_H-M_alt 'P 1'
_space_group_IT_number 1
_cell_length_a 3.9799
_cell_length_b 5.5425
_cell_length_c 11.0877
_cell_angle_alpha 90.00
_cell_angle_beta 90.00
_cell_angle_gamma 90.00
loop_
_space_group_symop_operation_xyz
'x,y,z'
loop_
_atom_site_label
_atom_site_fract_x
_atom_site_fract_y
_atom_site_fract_z
Pt1 0.5000 0.2765 0.1158
Pt2 0.5000 0.7765 0.3842
Pt3 0.0000 0.0000 0.0000
Pt4 0.0000 0.4747 0.7531
Pt5 0.5000 0.2235 0.6158
Pt6 0.5000 0.7235 0.8842
Pt7 0.0000 0.0253 0.2531
Pt8 0.0000 0.9747 0.7469
Pt9 0.0000 0.5253 0.2469
Pt10 0.0000 0.5000 0.5000
Ti1 0.5000 0.2787 0.3663
Ti2 0.5000 0.7787 0.1337
Ti3 0.5000 0.2213 0.8663
Ti4 0.5000 0.7213 0.6337
Zn1 0.0000 0.0000 0.5000
Zn2 0.0000 0.5000 0.0000
# total DFT energy (no corrections) = -53.348 eV/f.u.

[2]
# Ti2Zn3Pt PBE-GGA relaxed
data_Ti2Zn3Pt
_space_group_name_H-M_alt 'P 1'
_space_group_IT_number 1
_cell_length_a 2.8163
_cell_length_b 2.8360
_cell_length_c 12.3434
_cell_angle_alpha 96.60
_cell_angle_beta 96.55
_cell_angle_gamma 90.00
loop_
_space_group_symop_operation_xyz
'x,y,z'
loop_
_atom_site_label
_atom_site_fract_x
_atom_site_fract_y
_atom_site_fract_z
Ti1 0.1254 0.1254 0.2508
Ti2 0.8780 0.3780 0.7561
Pt1 0.4522 0.9522 0.9044
Zn1 0.7048 0.7048 0.4095
Zn2 0.2963 0.7963 0.5925
Zn3 0.5433 0.5433 0.0866
# total DFT energy (no corrections) = -27.072 eV/f.u.
# relative energy among the computed polymorphs = 2.59 kcal/mol of atoms

[3]
# TiZn7Pt4 PBE-GGA relaxed
data_TiZn7Pt4
_space_group_name_H-M_alt 'P 1'
_space_group_IT_number 1
_cell_length_a 4.6365
_cell_length_b 7.4854
_cell_length_c 6.5037
_cell_angle_alpha 79.78
_cell_angle_beta 69.12
_cell_angle_gamma 71.96
loop_
_space_group_symop_operation_xyz
'x,y,z'
loop_
_atom_site_label
_atom_site_fract_x
_atom_site_fract_y
_atom_site_fract_z
Zn1 0.7882 0.8558 0.5679
Zn2 0.2118 0.1442 0.4321
Zn3 0.9428 0.3534 0.7610
Zn4 0.0572 0.6466 0.2390
Zn5 0.5000 0.0000 0.0000
Zn6 0.6806 0.3803 0.2586
Zn7 0.3194 0.6197 0.7414
Pt1 0.5799 0.2072 0.6330
Pt2 0.4201 0.7928 0.3670
Pt3 0.3029 0.3457 0.0484
Pt4 0.6971 0.6543 0.9516
Ti1 0.0000 0.0000 0.0000
# total DFT energy (no corrections) = -43.182 eV/f.u.

[4]
# Ti11Zn9Pt4 PBE-GGA relaxed
data_Ti11Zn9Pt4
_space_group_name_H-M_alt 'P 1'
_space_group_IT_number 1
_cell_length_a 3.0607
_cell_length_b 11.6909
_cell_length_c 11.6909
_cell_angle_alpha 113.84
_cell_angle_beta 90.00
_cell_angle_gamma 90.00
loop_
_space_group_symop_operation_xyz
'x,y,z'
loop_
_atom_site_label
_atom_site_fract_x
_atom_site_fract_y
_atom_site_fract_z
Pt1 0.5000 0.2442 0.4408
Pt2 0.5000 0.5592 0.7558
Pt3 0.5000 0.7558 0.5592
Pt4 0.5000 0.4408 0.2442
Zn1 0.5000 0.5000 0.5000
Zn2 0.5000 0.7942 0.9527
Zn3 0.5000 0.9527 0.7942
Zn4 0.5000 0.1564 0.6304
Zn5 0.5000 0.2058 0.0473
Zn6 0.5000 0.0473 0.2058
Zn7 0.5000 0.3696 0.8436
Zn8 0.5000 0.6304 0.1564
Zn9 0.5000 0.8436 0.3696
Ti1 0.0000 0.8325 0.1675
Ti2 0.0000 0.3602 0.6398
Ti3 0.0000 0.4078 0.0534
Ti4 0.0000 0.9466 0.5922
Ti5 0.0000 0.0000 0.0000
Ti6 0.0000 0.1675 0.8325
Ti7 0.0000 0.7338 0.7338
Ti8 0.0000 0.2662 0.2662
Ti9 0.0000 0.6398 0.3602
Ti10 0.0000 0.0534 0.4078
Ti11 0.0000 0.5922 0.9466
# total DFT energy (no corrections) = -132.848 eV/f.u.

| no. | energy relative to the elements (eV per atom) |
| --- | --- |
| 1 | -0.76 |
| 2 | -0.24 |
| 3 | -0.18 |
| 4 | -0.43 |